# SrSmEuVO6

A relaxed structure of SrSmEuVO6 (PBE+U, the Alexandria database).

Cell: 5.8740 5.8740 5.8740 Å, 60.00 60.00 60.00°
Closest atoms and distances in Å follow each position.
Positions (direct):
O  0.7288  0.2712  0.2712  1 V 1.90
O  0.7288  0.7288  0.2712  1 V 1.90
O  0.2712  0.7288  0.7288  1 V 1.90
Sr  0.7500  0.7500  0.7500  12 O 2.94
V  0.5000  0.5000  0.5000  6 O 1.90
O  0.7288  0.2712  0.7288  1 V 1.90
O  0.2712  0.7288  0.2712  1 V 1.90
O  0.2712  0.2712  0.7288  1 V 1.90
Eu  0.2500  0.2500  0.2500  12 O 2.94
Sm  0.0000  0.0000  0.0000  6 O 2.25

## Properties
The density of states at the Fermi level comes out at 16.44 states/eV/cell. For the final energy, the calculation gives -80.32 eV per formula unit. Its magnetization is 0.701 μB/atom.